Entry 1:
## PmThHg (PBE)

Data for a relaxed PmThHg crystal.

```
data_PmThHg
_chemical_formula_sum 'Pm2 Th2 Hg2'
_symmetry_space_group_name_H-M 'I 4 m m'
_symmetry_Int_Tables_number 107
_symmetry_space_group_name_Hall 'I 4 -2'
_cell_length_a 3.722
_cell_length_b 3.722
_cell_length_c 13.064
_cell_angle_alpha 90.00
_cell_angle_beta 90.00
_cell_angle_gamma 90.00
loop_
_atom_site_label
_atom_site_fract_x
_atom_site_fract_y
_atom_site_fract_z
_atom_site_occupancy
Pm1 0.000 0.000 0.000 1
Th1 0.000 0.000 0.690 1
Hg1 0.000 0.000 0.351 1
```

Values from the calculation:
* calculated density: 10.60 g/cm³
* relative energy among the computed polymorphs: 0.00 kJ/mol of atoms
* E_tot: -4.35 eV/atom

=====

Entry 2:
## RbAgGe (PBE)

Data for a relaxed RbAgGe crystal.

```
data_RbAgGe
_chemical_formula_sum 'Rb2 Ag2 Ge2'
_symmetry_space_group_name_H-M 'P -1'
_symmetry_Int_Tables_number 2
_cell_length_a 4.483
_cell_length_b 6.933
_cell_length_c 7.270
_cell_angle_alpha 63.09
_cell_angle_beta 89.84
_cell_angle_gamma 71.25
loop_
_symmetry_equiv_pos_as_xyz
'x,y,z'
'-x,-y,-z'
loop_
_atom_site_label
_atom_site_fract_x
_atom_site_fract_y
_atom_site_fract_z
_atom_site_occupancy
Rb1 0.104 0.291 0.295 1
Ag1 0.401 0.699 0.306 1
Ge1 0.231 0.039 0.888 1
```

Values from the calculation:
* calculated density: 4.70 g/cm³
* relative energy among the computed polymorphs: 11.39 kJ/mol of atoms
* E_tot: -2.76 eV/atom

=====

Entry 3:
## LaAs2 (PBE)

Data for a relaxed LaAs2 crystal.

```
data_LaAs2
_chemical_formula_sum 'La4 As8'
_symmetry_space_group_name_H-M 'C 1 2/m 1'
_symmetry_Int_Tables_number 12
_cell_length_a 10.205
_cell_length_b 4.058
_cell_length_c 8.825
_cell_angle_alpha 90.00
_cell_angle_beta 105.04
_cell_angle_gamma 90.00
loop_
_symmetry_equiv_pos_as_xyz
'x,y,z'
'-x,-y,-z'
'-x,y,-z'
'x,-y,z'
'x+1/2,y+1/2,z'
'-x+1/2,-y+1/2,-z'
'-x+1/2,y+1/2,-z'
'x+1/2,-y+1/2,z'
loop_
_atom_site_label
_atom_site_fract_x
_atom_site_fract_y
_atom_site_fract_z
_atom_site_occupancy
La1 0.170 0.000 0.183 1
As1 0.061 0.500 0.897 1
As2 0.182 0.000 0.532 1
```

Values from the calculation:
* calculated density: 5.43 g/cm³
* E_tot: -5.64 eV/atom

=====

Entry 4:
## Cs2PuMnS4 (PBE)

Data for a relaxed Cs2PuMnS4 crystal.

```
data_Cs2PuMnS4
_chemical_formula_sum 'Cs16 Pu8 Mn8 S32'
_symmetry_space_group_name_H-M 'F d d d'
_symmetry_Int_Tables_number 70
_cell_length_a 6.509
_cell_length_b 14.367
_cell_length_c 25.538
_cell_angle_alpha 90.00
_cell_angle_beta 90.00
_cell_angle_gamma 90.00
loop_
_symmetry_equiv_pos_as_xyz
'x,y,z'
'-x,-y,-z'
'-x+1/4,-y+1/4,z'
'x+1/4,y+1/4,-z'
'x,-y+1/4,-z+1/4'
'-x,y+1/4,z+1/4'
'-x+1/4,y,-z+1/4'
'x+1/4,-y,z+1/4'
'x,y+1/2,z+1/2'
'-x,-y+1/2,-z+1/2'
'-x+1/4,-y+3/4,z+1/2'
'x+1/4,y+3/4,-z+1/2'
'x,-y+3/4,-z+3/4'
'-x,y+3/4,z+3/4'
'-x+1/4,y+1/2,-z+3/4'
'x+1/4,-y+1/2,z+3/4'
'x+1/2,y,z+1/2'
'-x+1/2,-y,-z+1/2'
'-x+3/4,-y+1/4,z+1/2'
'x+3/4,y+1/4,-z+1/2'
'x+1/2,-y+1/4,-z+3/4'
'-x+1/2,y+1/4,z+3/4'
'-x+3/4,y,-z+3/4'
'x+3/4,-y,z+3/4'
'x+1/2,y+1/2,z'
'-x+1/2,-y+1/2,-z'
'-x+3/4,-y+3/4,z'
'x+3/4,y+3/4,-z'
'x+1/2,-y+3/4,-z+1/4'
'-x+1/2,y+3/4,z+1/4'
'-x+3/4,y+1/2,-z+1/4'
'x+3/4,-y+1/2,z+1/4'
loop_
_atom_site_label
_atom_site_fract_x
_atom_site_fract_y
_atom_site_fract_z
_atom_site_occupancy
Cs1 0.125 0.125 0.304 1
Pu1 0.125 0.125 0.125 1
Mn1 0.125 0.125 0.625 1
S1 0.096 0.280 0.827 1
```

Values from the calculation:
* calculated density: 3.85 g/cm³
* ΔE_f (raw): -1.066 eV/atom
* E_tot: -6.28 eV/atom